! GGA-PBE NbVRu4, relaxed; values from VASP
! - Raw total energy: -0.33015 hartree per atom
! - ΔE_f: 38.4 kJ/mol of atoms
! - Fermi-level density of states: 7.7 states/eV per cell
! - Calculated volume: 101.1 Å³/cell
! - Offset from the most stable computed form: 38.3 kJ per mole of atoms
! - Size of the total moment: 0.00 μB/atom
&SYSTEM
  ibrav = 0, nat = 6, ntyp = 3
/
ATOMIC_SPECIES
Ru 101.07 Ru.upf
Nb 92.91 Nb.upf
V 50.94 V.upf
CELL_PARAMETERS angstrom
4.105 0.000 -0.001
0.000 4.106 -0.002
0.003 0.005 6.000
ATOMIC_POSITIONS crystal
Ru 0.001 0.497 0.265
Ru 0.001 0.497 0.731
Ru 0.501 0.998 0.731
Ru 0.501 0.997 0.265
Nb 0.501 0.497 0.998
V 0.001 0.997 0.498

! GGA-PBE NpAuSe3, relaxed; values from VASP
! - Raw total energy: -0.21513 hartree per atom
! - Fermi-level density of states: 22.0 states/eV per cell
! - Calculated volume: 260.6 Å³/cell
! - Formation energy without anion corrections: -0.520 eV per atom
! - Size of the total moment: 0.48 μB/atom
&SYSTEM
  ibrav = 0, nat = 10, ntyp = 3
/
ATOMIC_SPECIES
Np 237.00 Np.upf
Se 78.96 Se.upf
Au 196.97 Au.upf
CELL_PARAMETERS angstrom
-1.180 3.908 1.277
-4.509 -2.914 4.751
6.766 -1.996 5.198
ATOMIC_POSITIONS crystal
Np 0.301 0.750 0.603
Np 0.699 0.250 0.397
Se 0.467 0.750 0.934
Se 0.833 0.001 0.665
Se 0.533 0.250 0.066
Se 0.833 0.499 0.665
Se 0.167 0.999 0.335
Se 0.167 0.501 0.335
Au 0.044 0.750 0.087
Au 0.956 0.250 0.913

! GGA-PBE CeNdPb, relaxed; values from VASP
! - Raw total energy: -0.18691 hartree per atom
! - ΔE_f: -27.3 kJ/mol of atoms
! - Fermi-level density of states: 7.1 states/eV per cell
! - Calculated volume: 90.2 Å³/cell
! - Offset from the most stable computed form: 13.2 kJ per mole of atoms
! - Size of the total moment: 0.23 μB/atom
&SYSTEM
  ibrav = 0, nat = 3, ntyp = 3
/
ATOMIC_SPECIES
Ce 140.12 Ce.upf
Pb 207.20 Pb.upf
Nd 144.24 Nd.upf
CELL_PARAMETERS angstrom
4.279 0.000 0.000
0.000 4.279 0.000
-2.140 -2.140 4.928
ATOMIC_POSITIONS crystal
Ce 0.933 0.933 0.866
Pb 0.284 0.284 0.567
Nd 0.634 0.634 0.267

! GGA-PBE Ca2Sn2Te, relaxed; values from VASP
! - Raw total energy: -0.13974 hartree per atom
! - Fermi-level density of states: 1.8 states/eV per cell
! - Calculated volume: 153.8 Å³/cell
! - Offset from the most stable computed form: 0.0 kJ per mole of atoms
! - Formation energy without anion corrections: -0.772 eV per atom
! - Size of the total moment: 0.00 μB/atom
&SYSTEM
  ibrav = 0, nat = 5, ntyp = 3
/
ATOMIC_SPECIES
Te 127.60 Te.upf
Ca 40.08 Ca.upf
Sn 118.71 Sn.upf
CELL_PARAMETERS angstrom
4.176 0.000 0.000
0.000 4.176 0.000
2.088 2.088 8.820
ATOMIC_POSITIONS crystal
Te 0.000 0.000 0.000
Ca 0.601 0.601 0.799
Ca 0.399 0.399 0.201
Sn 0.750 0.250 0.500
Sn 0.250 0.750 0.500

! GGA-PBE TbY3Tm3, relaxed; values from VASP
! - Raw total energy: -0.19136 hartree per atom
! - ΔE_f: 13.6 kJ/mol of atoms
! - Fermi-level density of states: 20.8 states/eV per cell
! - Calculated volume: 460.1 Å³/cell
! - Offset from the most stable computed form: 13.2 kJ per mole of atoms
! - Size of the total moment: 0.00 μB/atom
&SYSTEM
  ibrav = 0, nat = 14, ntyp = 3
/
ATOMIC_SPECIES
Y 88.91 Y.upf
Tb 158.93 Tb.upf
Tm 168.93 Tm.upf
CELL_PARAMETERS angstrom
-3.457 5.041 -0.601
-6.101 -0.371 0.600
-1.978 4.033 13.812
ATOMIC_POSITIONS crystal
Y 0.266 0.599 0.202
Y 0.599 0.933 0.202
Y 0.067 0.734 0.798
Y 0.401 0.067 0.798
Y 0.734 0.401 0.798
Y 0.933 0.266 0.202
Tb 0.333 0.333 0.000
Tb 0.667 0.667 0.000
Tm 0.134 0.465 0.599
Tm 0.535 0.198 0.401
Tm 0.866 0.535 0.401
Tm 0.802 0.134 0.599
Tm 0.198 0.866 0.401
Tm 0.465 0.802 0.599

! GGA-PBE Y2ThMg, relaxed; values from VASP
! - Raw total energy: -0.20151 hartree per atom
! - ΔE_f: 0.2 kJ/mol of atoms
! - Fermi-level density of states: 5.4 states/eV per cell
! - Calculated volume: 122.0 Å³/cell
! - Offset from the most stable computed form: 5.0 kJ per mole of atoms
! - Size of the total moment: 0.00 μB/atom
&SYSTEM
  ibrav = 0, nat = 4, ntyp = 3
/
ATOMIC_SPECIES
Y 88.91 Y.upf
Mg 24.30 Mg.upf
Th 232.04 Th.upf
CELL_PARAMETERS angstrom
-2.120 -0.059 -2.868
-3.529 -0.333 0.398
-2.865 10.888 -0.322
ATOMIC_POSITIONS crystal
Y 0.748 0.748 0.756
Y 0.252 0.252 0.244
Mg 0.000 0.000 0.000
Th 0.500 0.500 0.500

! GGA-PBE CsNaFeH6, relaxed; values from VASP
! - Raw total energy: -0.12685 hartree per atom
! - Calculated volume: 117.3 Å³/cell
! - Size of the total moment: 0.01 μB/atom
&SYSTEM
  ibrav = 0, nat = 9, ntyp = 4
/
ATOMIC_SPECIES
Fe 55.84 Fe.upf
Na 22.99 Na.upf
H 1.01 H.upf
Cs 132.91 Cs.upf
CELL_PARAMETERS angstrom
5.110 0.302 0.598
2.825 4.871 0.020
0.706 -0.418 4.991
ATOMIC_POSITIONS crystal
Fe 0.386 0.307 0.463
Na 0.710 0.644 0.481
H 0.521 0.086 0.656
H 0.523 0.389 0.656
H 0.218 0.392 0.232
H 0.309 0.088 0.397
H 0.084 0.459 0.706
H 0.310 0.603 0.397
Cs 0.938 0.030 0.012

! GGA-PBE La2Ce2Ga3, relaxed; values from VASP
! - Raw total energy: -0.17707 hartree per atom
! - ΔE_f: -40.3 kJ/mol of atoms
! - Fermi-level density of states: 10.5 states/eV per cell
! - Calculated volume: 177.0 Å³/cell
! - Offset from the most stable computed form: 0.0 kJ per mole of atoms
! - Size of the total moment: 0.11 μB/atom
&SYSTEM
  ibrav = 0, nat = 7, ntyp = 3
/
ATOMIC_SPECIES
La 138.91 La.upf
Ga 69.72 Ga.upf
Ce 140.12 Ce.upf
CELL_PARAMETERS angstrom
-1.007 4.108 -0.232
-3.150 -0.830 -1.028
-4.236 1.796 11.535
ATOMIC_POSITIONS crystal
La 0.425 0.500 0.150
La 0.575 0.500 0.850
Ga 0.849 0.000 0.302
Ga 0.000 0.000 0.000
Ga 0.151 0.000 0.698
Ce 0.287 0.500 0.426
Ce 0.713 0.500 0.574

! GGA-PBE As2PdBrN, relaxed; values from VASP
! - Raw total energy: -0.12864 hartree per atom
! - Fermi-level density of states: 2.9 states/eV per cell
! - Calculated volume: 127.8 Å³/cell
! - Offset from the most stable computed form: 43.6 kJ per mole of atoms
! - Formation energy without anion corrections: 1.397 eV per atom
! - Size of the total moment: 0.49 μB/atom
&SYSTEM
  ibrav = 0, nat = 5, ntyp = 4
/
ATOMIC_SPECIES
Pd 106.42 Pd.upf
As 74.92 As.upf
N 14.01 N.upf
Br 79.90 Br.upf
CELL_PARAMETERS angstrom
-3.955 2.711 0.550
-2.133 -2.379 -3.618
-2.002 -3.646 3.577
ATOMIC_POSITIONS crystal
Pd 0.000 0.000 0.000
As 0.000 0.500 0.000
As 0.500 0.000 0.000
N 0.500 0.500 0.500
Br 0.000 0.000 0.500

! GGA-PBE Sr8AgAu2, relaxed; values from VASP
! - Raw total energy: -0.08402 hartree per atom
! - ΔE_f: -20.1 kJ/mol of atoms
! - Fermi-level density of states: 6.6 states/eV per cell
! - Calculated volume: 539.3 Å³/cell
! - Size of the total moment: 0.00 μB/atom
&SYSTEM
  ibrav = 0, nat = 11, ntyp = 3
/
ATOMIC_SPECIES
Sr 87.62 Sr.upf
Ag 107.87 Ag.upf
Au 196.97 Au.upf
CELL_PARAMETERS angstrom
-1.473 6.176 -1.687
0.649 -2.415 -9.411
-8.522 -0.764 4.646
ATOMIC_POSITIONS crystal
Sr 0.255 0.155 0.311
Sr 0.745 0.843 0.155
Sr 0.745 0.845 0.688
Sr 0.255 0.689 0.843
Sr 0.745 0.311 0.157
Sr 0.751 0.333 0.667
Sr 0.255 0.157 0.845
Sr 0.249 0.667 0.333
Ag 0.000 0.000 0.000
Au 0.251 0.333 0.667
Au 0.749 0.667 0.333

! GGA-PBE TlCo2Cl, relaxed; values from VASP
! - Raw total energy: -0.13570 hartree per atom
! - Fermi-level density of states: 8.4 states/eV per cell
! - Calculated volume: 73.3 Å³/cell
! - Offset from the most stable computed form: 65.4 kJ per mole of atoms
! - Formation energy without anion corrections: 0.914 eV per atom
! - Size of the total moment: 0.95 μB/atom
&SYSTEM
  ibrav = 0, nat = 4, ntyp = 3
/
ATOMIC_SPECIES
Tl 204.38 Tl.upf
Co 58.93 Co.upf
Cl 35.45 Cl.upf
CELL_PARAMETERS angstrom
-0.868 -2.947 -3.554
3.557 -2.148 -2.192
0.661 -4.617 0.563
ATOMIC_POSITIONS crystal
Tl 0.750 0.750 0.750
Co 0.000 0.000 0.000
Co 0.250 0.250 0.250
Cl 0.500 0.500 0.500

! GGA-PBE BaSc2Bi2, relaxed; values from VASP
! - Raw total energy: -0.18066 hartree per atom
! - ΔE_f: -43.1 kJ/mol of atoms
! - Fermi-level density of states: 3.5 states/eV per cell
! - Calculated volume: 296.7 Å³/cell
! - Offset from the most stable computed form: 21.2 kJ per mole of atoms
! - Size of the total moment: 0.39 μB/atom
&SYSTEM
  ibrav = 0, nat = 10, ntyp = 3
/
ATOMIC_SPECIES
Sc 44.96 Sc.upf
Ba 137.33 Ba.upf
Bi 208.98 Bi.upf
CELL_PARAMETERS angstrom
-5.295 -4.932 4.960
1.027 -6.701 -5.568
3.040 -1.222 2.031
ATOMIC_POSITIONS crystal
Sc 0.380 0.880 0.000
Sc 0.120 0.380 0.000
Sc 0.880 0.620 0.000
Sc 0.620 0.120 0.000
Ba 0.500 0.500 0.000
Ba 0.000 0.000 0.000
Bi 0.832 0.332 0.500
Bi 0.168 0.668 0.500
Bi 0.332 0.168 0.500
Bi 0.668 0.832 0.500

! GGA-PBE La2InSe, relaxed; values from VASP
! - Raw total energy: -0.18486 hartree per atom
! - Fermi-level density of states: 4.3 states/eV per cell
! - Calculated volume: 121.2 Å³/cell
! - Offset from the most stable computed form: 14.3 kJ per mole of atoms
! - Formation energy without anion corrections: -1.011 eV per atom
! - Size of the total moment: 0.00 μB/atom
&SYSTEM
  ibrav = 0, nat = 4, ntyp = 3
/
ATOMIC_SPECIES
Se 78.96 Se.upf
La 138.91 La.upf
In 114.82 In.upf
CELL_PARAMETERS angstrom
-5.616 0.243 2.958
-6.173 -1.385 -0.563
0.857 -4.631 2.005
ATOMIC_POSITIONS crystal
Se 0.510 0.510 0.375
La 0.253 0.253 0.375
La 0.000 0.000 0.875
In 0.737 0.737 0.875

! GGA-PBE Mg2Cd2Pt, relaxed; values from VASP
! - Raw total energy: -0.09639 hartree per atom
! - ΔE_f: -39.7 kJ/mol of atoms
! - Fermi-level density of states: 1.8 states/eV per cell
! - Calculated volume: 97.4 Å³/cell
! - Offset from the most stable computed form: 0.0 kJ per mole of atoms
! - Size of the total moment: 0.00 μB/atom
&SYSTEM
  ibrav = 0, nat = 5, ntyp = 3
/
ATOMIC_SPECIES
Cd 112.41 Cd.upf
Mg 24.30 Mg.upf
Pt 195.08 Pt.upf
CELL_PARAMETERS angstrom
-0.492 1.939 2.362
-2.636 -1.480 0.666
6.644 -6.487 4.682
ATOMIC_POSITIONS crystal
Cd 0.192 0.192 0.384
Cd 0.808 0.808 0.616
Mg 0.419 0.419 0.838
Mg 0.581 0.581 0.162
Pt 0.000 0.000 0.000

! GGA-PBE Zr2Te6Rh, relaxed; values from VASP
! - Raw total energy: -0.19924 hartree per atom
! - Fermi-level density of states: 7.6 states/eV per cell
! - Calculated volume: 474.9 Å³/cell
! - Formation energy without anion corrections: -0.611 eV per atom
! - Size of the total moment: 0.00 μB/atom
&SYSTEM
  ibrav = 0, nat = 18, ntyp = 3
/
ATOMIC_SPECIES
Zr 91.22 Zr.upf
Te 127.60 Te.upf
Rh 102.91 Rh.upf
CELL_PARAMETERS angstrom
-5.657 -3.807 -2.007
4.125 -5.974 -0.295
-2.471 -2.133 8.625
ATOMIC_POSITIONS crystal
Zr 0.474 0.148 0.249
Zr 0.026 0.648 0.251
Zr 0.974 0.352 0.749
Zr 0.526 0.852 0.751
Te 0.659 0.171 0.565
Te 0.853 0.003 0.240
Te 0.647 0.503 0.260
Te 0.159 0.329 0.432
Te 0.841 0.671 0.935
Te 0.659 0.171 0.932
Te 0.841 0.671 0.568
Te 0.341 0.829 0.435
Te 0.341 0.829 0.068
Te 0.353 0.497 0.740
Te 0.147 0.997 0.760
Te 0.159 0.329 0.065
Rh 0.500 0.500 0.000
Rh 0.000 0.000 0.500

! GGA-PBE ErCdCoCu, relaxed; values from VASP
! - Raw total energy: -0.15489 hartree per atom
! - ΔE_f: -4.3 kJ/mol of atoms
! - Fermi-level density of states: 2.4 states/eV per cell
! - Calculated volume: 69.4 Å³/cell
! - Size of the total moment: 0.12 μB/atom
&SYSTEM
  ibrav = 0, nat = 4, ntyp = 4
/
ATOMIC_SPECIES
Cd 112.41 Cd.upf
Cu 63.55 Cu.upf
Er 167.26 Er.upf
Co 58.93 Co.upf
CELL_PARAMETERS angstrom
-1.885 4.093 0.985
-0.539 1.293 4.394
2.608 3.380 1.746
ATOMIC_POSITIONS crystal
Cd 0.750 0.750 0.750
Cu 0.000 0.000 0.000
Er 0.250 0.250 0.250
Co 0.500 0.500 0.500

! GGA-PBE Cs2PbO, relaxed; values from VASP
! - Raw total energy: -0.11206 hartree per atom
! - Fermi-level density of states: 8.2 states/eV per cell
! - Calculated volume: 365.0 Å³/cell
! - Formation energy without anion corrections: -0.456 eV per atom
! - Size of the total moment: 0.29 μB/atom
&SYSTEM
  ibrav = 0, nat = 8, ntyp = 3
/
ATOMIC_SPECIES
Pb 207.20 Pb.upf
Cs 132.91 Cs.upf
O 16.00 O.upf
CELL_PARAMETERS angstrom
2.623 -2.029 8.330
0.845 5.305 -7.179
-7.771 3.633 2.609
ATOMIC_POSITIONS crystal
Pb 0.000 0.000 0.000
Pb 0.250 0.750 0.500
Cs 0.625 0.443 0.318
Cs 0.125 0.307 0.682
Cs 0.693 0.375 0.818
Cs 0.557 0.875 0.182
O 0.750 0.250 0.500
O 0.500 0.500 0.000

! GGA-PBE ZrMn2Ag, relaxed; values from VASP
! - Raw total energy: -0.26243 hartree per atom
! - ΔE_f: 28.3 kJ/mol of atoms
! - Fermi-level density of states: 4.0 states/eV per cell
! - Calculated volume: 68.8 Å³/cell
! - Offset from the most stable computed form: 19.8 kJ per mole of atoms
! - Size of the total moment: 0.09 μB/atom
&SYSTEM
  ibrav = 0, nat = 4, ntyp = 3
/
ATOMIC_SPECIES
Ag 107.87 Ag.upf
Zr 91.22 Zr.upf
Mn 54.94 Mn.upf
CELL_PARAMETERS angstrom
-3.122 -6.739 5.438
-1.103 -8.267 3.895
-0.281 -6.719 6.286
ATOMIC_POSITIONS crystal
Ag 0.743 0.743 0.743
Zr 0.505 0.505 0.505
Mn 0.993 0.993 0.993
Mn 0.259 0.259 0.259

! GGA-PBE Rb2SrRh, relaxed; values from VASP
! - Raw total energy: -0.06738 hartree per atom
! - ΔE_f: 87.7 kJ/mol of atoms
! - Fermi-level density of states: 6.8 states/eV per cell
! - Calculated volume: 488.9 Å³/cell
! - Size of the total moment: 0.00 μB/atom
&SYSTEM
  ibrav = 0, nat = 8, ntyp = 3
/
ATOMIC_SPECIES
Rb 85.47 Rb.upf
Rh 102.91 Rh.upf
Sr 87.62 Sr.upf
CELL_PARAMETERS angstrom
-5.758 -3.879 -5.457
5.590 -6.748 -1.102
-2.701 -8.275 1.587
ATOMIC_POSITIONS crystal
Rb 0.871 0.125 0.250
Rb 0.879 0.625 0.250
Rb 0.375 0.129 0.750
Rb 0.875 0.121 0.750
Rh 0.750 0.250 0.500
Rh 0.000 0.000 0.000
Sr 0.500 0.500 0.000
Sr 0.250 0.750 0.500

! GGA-PBE NaWSeBr2, relaxed; values from VASP
! - Raw total energy: -0.16236 hartree per atom
! - Fermi-level density of states: 2.1 states/eV per cell
! - Calculated volume: 140.2 Å³/cell
! - Offset from the most stable computed form: 0.0 kJ per mole of atoms
! - Formation energy without anion corrections: -0.198 eV per atom
! - Size of the total moment: 0.33 μB/atom
&SYSTEM
  ibrav = 0, nat = 5, ntyp = 4
/
ATOMIC_SPECIES
W 183.84 W.upf
Br 79.90 Br.upf
Na 22.99 Na.upf
Se 78.96 Se.upf
CELL_PARAMETERS angstrom
5.377 0.000 0.000
0.000 5.377 0.000
0.000 0.000 4.850
ATOMIC_POSITIONS crystal
W 0.000 0.000 0.000
Br 0.500 0.000 0.000
Br 0.000 0.500 0.000
Na 0.500 0.500 0.500
Se 0.000 0.000 0.500